No. 1
VASP calculation (PBE) on SiPtPb3 after structural relaxation.

Computed properties:
**Energy relative to the elements, uncorrected**: 494 meV per atom
**Offset from the most stable computed form**: 0.0 meV per atom
**Density of states at the Fermi level**: 0.2613 states/eV per atom
**Space-group type**: Pm-3m
**ρ**: 9.037 Mg/m³

Structure (POSCAR):
```
SiPtPb3
1.0
5.3742 0.0000 0.0000
0.0000 5.3742 0.0000
0.0000 0.0000 5.3742
Si Pt Pb
1 1 3
direct
0.0000 0.0000 0.0000 Si
0.5000 0.5000 0.5000 Pt
0.0000 0.5000 0.5000 Pb
0.5000 0.0000 0.5000 Pb
0.5000 0.5000 0.0000 Pb
```

No. 2
VASP calculation (PBE) on PrEr2Ir after structural relaxation.

Computed properties:
**Offset from the most stable computed form**: 178.1 meV per atom
**Density of states at the Fermi level**: 0.9921 states/eV per atom
**Space-group type**: R-3m
**Energy of formation**: -0.370 eV/atom
**ρ**: 9.067 Mg/m³

Structure (POSCAR):
```
PrEr2Ir
1.0
3.9022 0.0000 0.0000
-1.9511 3.3794 0.0000
0.0000 0.0000 27.8146
Pr Er Ir
3 6 3
direct
0.0000 0.0000 0.0000 Pr
0.3333 0.6667 0.6667 Pr
0.6667 0.3333 0.3333 Pr
0.0000 0.0000 0.2220 Er
0.0000 0.0000 0.7780 Er
0.3333 0.6667 0.4447 Er
0.3333 0.6667 0.8887 Er
0.6667 0.3333 0.1113 Er
0.6667 0.3333 0.5553 Er
0.0000 0.0000 0.5000 Ir
0.3333 0.6667 0.1667 Ir
0.6667 0.3333 0.8333 Ir
```

Repeat the second record exactly.
VASP calculation (PBE) on PrEr2Ir after structural relaxation.

Computed properties:
**Offset from the most stable computed form**: 178.1 meV per atom
**Density of states at the Fermi level**: 0.9921 states/eV per atom
**Space-group type**: R-3m
**Energy of formation**: -0.370 eV/atom
**ρ**: 9.067 Mg/m³

Structure (POSCAR):
```
PrEr2Ir
1.0
3.9022 0.0000 0.0000
-1.9511 3.3794 0.0000
0.0000 0.0000 27.8146
Pr Er Ir
3 6 3
direct
0.0000 0.0000 0.0000 Pr
0.3333 0.6667 0.6667 Pr
0.6667 0.3333 0.3333 Pr
0.0000 0.0000 0.2220 Er
0.0000 0.0000 0.7780 Er
0.3333 0.6667 0.4447 Er
0.3333 0.6667 0.8887 Er
0.6667 0.3333 0.1113 Er
0.6667 0.3333 0.5553 Er
0.0000 0.0000 0.5000 Ir
0.3333 0.6667 0.1667 Ir
0.6667 0.3333 0.8333 Ir
```

The lowest density of states at the Fermi level belongs to which entry?
SiPtPb3

Among the records above, which one has the lowest density of states at the Fermi level?
SiPtPb3

Which formula does entry 2 have?
PrEr2Ir